(1)
{
  "formula": "Na2Nd3TmS6",
  "functional": "PBE",
  "state": "optimized geometry",
  "cell": [[3.493, -6.042, 0.000], [3.493, 6.042, 0.000], [-2.315, 0.000, 6.566]],
  "species": ["Na", "Na", "Nd", "Nd", "Nd", "Tm", "S", "S", "S", "S", "S", "S"],
  "fractional_positions": [[0.165, 0.835, 0.000], [0.835, 0.165, 0.000], [0.000, 0.000, 0.500], [0.329, 0.671, 0.500], [0.671, 0.329, 0.500], [0.500, 0.500, 0.000], [0.098, 0.419, 0.759], [0.262, 0.262, 0.248], [0.419, 0.098, 0.759], [0.581, 0.902, 0.241], [0.738, 0.738, 0.752], [0.902, 0.581, 0.241]],
  "total_energy_ev_per_cell": -68.48,
  "spacegroup": "No. 12",
  "dos_ef_per_ev_cell": 3.28,
  "raw_formation_energy_mev_per_atom": -1858.5,
  "mass_density_g_cm3": 5.0
}

***

(2)
{
  "formula": "Na4NdTm3S8",
  "functional": "PBE",
  "state": "optimized geometry",
  "cell": [[3.982, 2.299, 6.682], [-3.982, 2.299, 6.682], [0.000, -4.598, 6.682]],
  "species": ["Na", "Na", "Na", "Na", "Nd", "Tm", "Tm", "Tm", "S", "S", "S", "S", "S", "S", "S", "S"],
  "fractional_positions": [[0.000, 0.000, 0.000], [0.000, 0.500, 0.500], [0.500, 0.000, 0.500], [0.500, 0.500, 0.000], [0.500, 0.500, 0.500], [0.000, 0.000, 0.500], [0.000, 0.500, 0.000], [0.500, 0.000, 0.000], [0.232, 0.748, 0.748], [0.241, 0.241, 0.241], [0.252, 0.252, 0.768], [0.252, 0.768, 0.252], [0.748, 0.232, 0.748], [0.748, 0.748, 0.232], [0.759, 0.759, 0.759], [0.768, 0.252, 0.252]],
  "total_energy_ev_per_cell": -85.81,
  "spacegroup": "No. 166",
  "dos_ef_per_ev_cell": 0.00,
  "raw_formation_energy_mev_per_atom": -1833.0,
  "mass_density_g_cm3": 4.5
}

***

(3)
{
  "formula": "NaNdTm4S8",
  "functional": "PBE",
  "state": "optimized geometry",
  "cell": [[4.004, 2.312, 6.688], [-4.004, 2.312, 6.688], [0.000, -4.624, 6.688]],
  "species": ["Na", "Nd", "Tm", "Tm", "Tm", "Tm", "S", "S", "S", "S", "S", "S", "S", "S"],
  "fractional_positions": [[0.000, 0.000, 0.000], [0.368, 0.368, 0.368], [0.368, 0.368, 0.886], [0.368, 0.886, 0.368], [0.746, 0.746, 0.746], [0.886, 0.368, 0.368], [0.127, 0.127, 0.591], [0.127, 0.591, 0.127], [0.135, 0.135, 0.135], [0.142, 0.621, 0.621], [0.591, 0.127, 0.127], [0.614, 0.614, 0.614], [0.621, 0.142, 0.621], [0.621, 0.621, 0.142]],
  "total_energy_ev_per_cell": -84.15,
  "spacegroup": "No. 160",
  "dos_ef_per_ev_cell": 0.00,
  "raw_formation_energy_mev_per_atom": -1940.1,
  "mass_density_g_cm3": 4.9
}

***

Please write out number 3 again, unchanged.
{
  "formula": "NaNdTm4S8",
  "functional": "PBE",
  "state": "optimized geometry",
  "cell": [[4.004, 2.312, 6.688], [-4.004, 2.312, 6.688], [0.000, -4.624, 6.688]],
  "species": ["Na", "Nd", "Tm", "Tm", "Tm", "Tm", "S", "S", "S", "S", "S", "S", "S", "S"],
  "fractional_positions": [[0.000, 0.000, 0.000], [0.368, 0.368, 0.368], [0.368, 0.368, 0.886], [0.368, 0.886, 0.368], [0.746, 0.746, 0.746], [0.886, 0.368, 0.368], [0.127, 0.127, 0.591], [0.127, 0.591, 0.127], [0.135, 0.135, 0.135], [0.142, 0.621, 0.621], [0.591, 0.127, 0.127], [0.614, 0.614, 0.614], [0.621, 0.142, 0.621], [0.621, 0.621, 0.142]],
  "total_energy_ev_per_cell": -84.15,
  "spacegroup": "No. 160",
  "dos_ef_per_ev_cell": 0.00,
  "raw_formation_energy_mev_per_atom": -1940.1,
  "mass_density_g_cm3": 4.9
}